No. 1
# Li3Mg6Hg

An optimized crystal structure of Li3Mg6Hg (GGA-PBE, Alexandria via LeMat-Bulk).

Structure (POSCAR):
```
Li3Mg6Hg
1.0
6.000 0.000 0.000
0.000 8.723 -0.301
0.000 -2.240 8.436
Li Mg Hg
6 12 2
direct
0.445 0.930 0.720
0.945 0.720 0.930
0.057 0.357 0.643
0.557 0.643 0.357
0.945 0.070 0.280
0.445 0.280 0.070
0.136 0.681 0.611
0.636 0.611 0.681
0.364 0.563 0.964
0.864 0.964 0.563
0.291 0.957 0.043
0.595 0.265 0.735
0.095 0.735 0.265
0.791 0.043 0.957
0.364 0.036 0.437
0.864 0.437 0.036
0.136 0.389 0.319
0.636 0.319 0.389
0.152 0.171 0.829
0.652 0.829 0.171
```

## Properties
As for the formation energy: -16 meV per atom. As for the relative energy among the computed polymorphs: 84 meV/atom. The density of states at the Fermi level is 3.01 states/eV/f.u. The symmetry is Cmc2_1.

No. 2
# LaCd5Ag7

An optimized crystal structure of LaCd5Ag7 (GGA-PBE, Alexandria via LeMat-Bulk).

Structure (POSCAR):
```
LaCd5Ag7
1.0
-0.684 3.324 4.553
-7.233 0.942 1.767
-0.009 -3.919 6.401
La Cd Ag
1 5 7
direct
0.994 0.006 0.006
0.501 0.002 0.494
0.002 0.002 0.494
0.501 0.494 0.002
0.002 0.494 0.002
0.714 0.786 0.786
0.644 0.356 0.356
0.345 0.655 0.655
0.002 0.349 0.647
0.002 0.647 0.349
0.289 0.211 0.211
0.502 0.781 0.216
0.502 0.216 0.781
```

## Properties
As for the formation energy: -97 meV per atom. The density of states at the Fermi level is 5.42 states/eV/f.u. The symmetry is Imm2.

No. 3
# Eu3TlAs

An optimized crystal structure of Eu3TlAs (GGA-PBE, Alexandria via LeMat-Bulk).

Structure (POSCAR):
```
Eu3TlAs
1.0
5.786 0.000 0.000
0.000 5.786 0.000
0.000 0.000 5.786
Eu Tl As
3 1 1
direct
0.000 0.500 0.000
0.000 0.000 0.500
0.500 0.000 0.000
0.500 0.500 0.500
0.000 0.000 0.000
```

## Properties
As for the formation energy: -530 meV per atom. The density of states at the Fermi level is 33.20 states/eV/f.u. The symmetry is Pm-3m.

No. 4
# Tb3TePSe

An optimized crystal structure of Tb3TePSe (GGA-PBE, Alexandria via LeMat-Bulk).

Structure (POSCAR):
```
Tb3TePSe
1.0
0.190 -0.365 -6.851
5.330 -4.127 -1.740
-1.763 -7.860 -0.684
Tb Te P Se
6 2 2 2
direct
0.498 0.834 0.863
0.002 0.303 0.863
0.750 0.245 0.510
0.502 0.166 0.137
0.998 0.697 0.137
0.250 0.755 0.490
0.250 0.251 0.498
0.750 0.749 0.502
0.750 0.062 0.876
0.250 0.938 0.124
0.250 0.562 0.876
0.750 0.438 0.124
```

## Properties
The density of states at the Fermi level is 4.47 states/eV/f.u. The calculation puts the uncorrected formation energy at -1.373 eV/atom. The symmetry is C2/c.

No. 5
# Nd2MgCd5

An optimized crystal structure of Nd2MgCd5 (GGA-PBE, Alexandria via LeMat-Bulk).

Structure (POSCAR):
```
Nd2MgCd5
1.0
4.662 0.000 0.000
-2.331 8.868 0.000
0.000 0.000 10.114
Nd Mg Cd
4 2 10
direct
0.808 0.616 0.750
0.192 0.384 0.250
0.000 0.000 0.000
0.000 0.000 0.500
0.456 0.912 0.750
0.544 0.088 0.250
0.196 0.393 0.897
0.804 0.607 0.103
0.196 0.393 0.603
0.804 0.607 0.397
0.362 0.724 0.970
0.638 0.276 0.030
0.362 0.724 0.530
0.638 0.276 0.470
0.611 0.222 0.750
0.389 0.778 0.250
```

## Properties
As for the formation energy: -211 meV per atom. As for the relative energy among the computed polymorphs: 24 meV/atom. The density of states at the Fermi level is 7.29 states/eV/f.u. The symmetry is Cmcm.

No. 6
# Na2InBi6

An optimized crystal structure of Na2InBi6 (GGA-PBE, Alexandria via LeMat-Bulk).

Structure (POSCAR):
```
Na2InBi6
1.0
3.343 -0.312 -0.299
1.029 9.403 1.706
1.029 2.117 9.320
Na In Bi
2 1 6
direct
0.998 0.333 0.333
0.002 0.667 0.667
0.000 0.000 0.000
0.500 0.007 0.330
0.500 0.993 0.670
0.500 0.670 0.993
0.500 0.348 0.652
0.500 0.652 0.348
0.500 0.330 0.007
```

## Properties
As for the formation energy: -108 meV per atom. As for the relative energy among the computed polymorphs: 0 meV/atom. The density of states at the Fermi level is 3.60 states/eV/f.u. The symmetry is C2/m.

No. 7
# LaTm4Cd5

An optimized crystal structure of LaTm4Cd5 (GGA-PBE, Alexandria via LeMat-Bulk).

Structure (POSCAR):
```
LaTm4Cd5
1.0
3.714 0.000 0.000
0.000 3.714 0.000
0.000 0.000 19.012
La Tm Cd
1 4 5
direct
0.000 0.000 0.000
0.000 0.000 0.210
0.000 0.000 0.404
0.000 0.000 0.596
0.000 0.000 0.790
0.500 0.500 0.116
0.500 0.500 0.306
0.500 0.500 0.500
0.500 0.500 0.694
0.500 0.500 0.884
```

## Properties
As for the formation energy: -312 meV per atom. The density of states at the Fermi level is 8.48 states/eV/f.u. The symmetry is P4/mmm.

No. 8
# BTeHRhAu

An optimized crystal structure of BTeHRhAu (GGA-PBE, Alexandria via LeMat-Bulk).

Structure (POSCAR):
```
BTeHRhAu
1.0
3.490 0.005 0.006
-0.858 4.842 -0.004
-0.249 -0.385 5.282
B Te H Rh Au
1 1 1 1 1
direct
0.849 0.775 0.713
0.340 0.363 0.750
0.128 0.999 0.277
0.346 0.857 0.536
0.815 0.721 0.115
```

## Properties
As for the relative energy among the computed polymorphs: 184 meV/atom. The density of states at the Fermi level is 1.21 states/eV/f.u. The symmetry is P1.

No. 9
# Zn4SiRh5

An optimized crystal structure of Zn4SiRh5 (GGA-PBE, Alexandria via LeMat-Bulk).

Structure (POSCAR):
```
Zn4SiRh5
1.0
2.985 0.000 0.000
0.000 2.985 0.000
0.000 0.000 15.263
Zn Si Rh
4 1 5
direct
0.000 0.000 0.202
0.000 0.000 0.400
0.000 0.000 0.600
0.000 0.000 0.798
0.000 0.000 0.000
0.500 0.500 0.091
0.500 0.500 0.299
0.500 0.500 0.500
0.500 0.500 0.701
0.500 0.500 0.909
```

## Properties
The density of states at the Fermi level is 5.20 states/eV/f.u. The calculation puts the uncorrected formation energy at -0.515 eV/atom. The symmetry is P4/mmm.

No. 10
# YMnP2Cl

An optimized crystal structure of YMnP2Cl (GGA-PBE, Alexandria via LeMat-Bulk).

Structure (POSCAR):
```
YMnP2Cl
1.0
-1.613 2.911 -3.147
-4.242 -1.567 0.724
-0.630 3.241 3.322
Y P Mn Cl
1 2 1 1
direct
0.500 0.500 0.500
0.000 0.500 0.000
0.500 0.000 0.000
0.000 0.000 0.000
0.000 0.000 0.500
```

## Properties
As for the relative energy among the computed polymorphs: 0 meV/atom. The density of states at the Fermi level is 1.41 states/eV/f.u. The calculation puts the uncorrected formation energy at -0.459 eV/atom. The symmetry is P4/mmm.

No. 11
# ScCrMo2

An optimized crystal structure of ScCrMo2 (GGA-PBE, Alexandria via LeMat-Bulk).

Structure (POSCAR):
```
ScCrMo2
1.0
4.484 0.000 0.000
0.000 4.484 0.000
0.000 0.000 3.100
Cr Mo Sc
1 2 1
direct
0.000 0.500 0.500
0.000 0.000 0.000
0.500 0.500 0.000
0.500 0.000 0.500
```

## Properties
As for the formation energy: 316 meV per atom. As for the relative energy among the computed polymorphs: 192 meV/atom. The density of states at the Fermi level is 6.68 states/eV/f.u. The symmetry is P4/mmm.

No. 12
# YLuGa

An optimized crystal structure of YLuGa (GGA-PBE, Alexandria via LeMat-Bulk).

Structure (POSCAR):
```
YLuGa
1.0
3.437 0.000 0.000
0.000 3.437 0.000
-1.718 -1.718 6.460
Y Lu Ga
1 1 1
direct
0.969 0.969 0.938
0.262 0.262 0.523
0.619 0.619 0.239
```

## Properties
As for the formation energy: -389 meV per atom. As for the relative energy among the computed polymorphs: 0 meV/atom. The density of states at the Fermi level is 2.62 states/eV/f.u. The symmetry is I4mm.